Record 1
DFT (PBE) results for CoCu2Ag after structural relaxation.

Lattice parameters (Å, degrees): 2.6578 2.6578 26.1439 90.00 90.00 120.00
Space group R-3m (No. 166, hexagonal axes)
One atom of each set of equivalent atoms:
Co1 0.0000 0.0000 0.0000 [3 per cell]
Cu1 0.0000 0.0000 0.2564 [6 per cell]
Ag1 0.0000 0.0000 0.5000 [3 per cell]

Results
Energy above the lowest structure with this stoichiometry: 38 meV per atom
Magnetic moment: 0.348 μB per atom
Total energy: -4.31 eV/atom
V: 159.9 Å³/cell
ΔE_f: 0.2306 eV per atom

Record 2
DFT (PBE) results for Co3CuAg after structural relaxation.

Lattice parameters (Å, degrees): 4.330 4.330 4.330 90.00 90.00 90.00
Space group Pm-3m (No. 221)
One atom of each set of equivalent atoms:
Co1 0.000 0.000 0.500 [3 per cell]
Cu1 0.000 0.000 0.000 [1 per cell]
Ag1 0.500 0.500 0.500 [1 per cell]

Results
Energy above the lowest structure with this stoichiometry: 0 meV per atom
Magnetic moment: 1.111 μB per atom
Total energy: -4.41 eV/atom
V: 81.2 Å³/cell
ΔE_f: 1.2419 eV per atom

Record 3
DFT (PBE) results for Co2CuAg after structural relaxation.

Lattice parameters (Å, degrees): 2.717 4.312 8.944 90.00 90.00 90.00
Space group Immm (No. 71)
One atom of each set of equivalent atoms:
Co1 0.000 0.000 0.236 [4 per cell]
Cu1 0.000 0.500 0.500 [2 per cell]
Ag1 0.000 0.500 0.000 [2 per cell]

Results
Energy above the lowest structure with this stoichiometry: 160 meV per atom
Magnetic moment: 0.823 μB per atom
Total energy: -4.93 eV/atom
V: 104.8 Å³/cell
ΔE_f: 0.3578 eV per atom